## MgPdSe (GGA-PBE)

Data for a relaxed structure of MgPdSe.

POSCAR file:
```
MgPdSe
1.0
2.263 -4.387 0.000
2.263 4.387 0.000
-1.653 0.000 5.482
Mg Pd Se
2 2 2
Direct
0.184 0.816 0.500
0.816 0.184 0.000
0.532 0.561 0.191
0.561 0.532 0.691
0.157 0.891 0.015
0.891 0.157 0.515
```

Computed properties:
The formation energy from raw total energies is -0.583 eV per atom. The total magnetization comes out at 0.000 μB/f.u.